PmSmBi2: optimized geometry, PBE.

```
PmSmBi2
1.0
0.0000 3.9561 3.9561
3.9561 0.0000 3.9561
3.9561 3.9561 0.0000
Pm Sm Bi
1 1 2
Cartesian
0.0000 0.0000 0.0000
3.9561 3.9561 3.9561
1.9781 1.9781 1.9781
5.9342 5.9342 5.9342
```

Summary:
* crystal system: cubic
* DFT formation energy: -65.6 kJ/mol of atoms

***

Li4Cd2Hg5: optimized geometry, PBE.

```
Li4Cd2Hg5
1.0
8.2593 -2.5436 0.0000
8.2593 2.5436 0.0000
-0.6662 0.0000 5.2836
Li Cd Hg
4 2 5
Cartesian
0.6108 0.0000 1.4171
4.5960 0.0000 4.8347
11.2563 0.0000 0.4489
15.2416 0.0000 3.8665
6.4133 0.0000 2.4676
9.4391 0.0000 2.8159
1.5461 0.0000 4.3590
3.4509 0.0000 1.8198
8.2593 0.0000 0.0000
12.4015 0.0000 3.4638
14.3063 0.0000 0.9246
```

Summary:
* crystal system: monoclinic
* DFT formation energy: -24.6 kJ/mol of atoms

***

UNi5Ge3: optimized geometry, PBE.

```
UNi5Ge3
1.0
19.1630 0.0000 0.0000
0.0000 3.8947 0.0000
0.0000 0.0000 6.7857
U Ni Ge
4 20 12
Cartesian
2.7810 0.9737 0.8201
6.8005 2.9210 4.2129
12.3624 0.9737 2.5727
16.3820 2.9210 5.9656
0.0750 2.9210 0.9095
0.2805 0.9737 2.6014
2.1184 0.9737 4.3763
3.8304 2.9210 5.5123
4.0256 2.9210 2.8532
5.5559 0.9737 6.2460
5.7510 0.9737 2.1195
7.4631 2.9210 0.9834
9.3010 2.9210 5.9942
9.5065 0.9737 4.3024
9.6564 2.9210 2.4833
9.8620 0.9737 0.7914
11.6998 0.9737 5.8022
13.4119 2.9210 4.6662
13.6071 2.9210 0.5397
15.1374 0.9737 3.9325
15.3325 0.9737 1.2734
17.0446 2.9210 2.4094
18.8825 2.9210 4.1843
19.0880 0.9737 5.8762
1.4381 2.9210 5.7850
1.6751 2.9210 2.7684
4.4749 0.9737 4.1643
5.1066 2.9210 0.7715
7.9064 0.9737 6.1613
8.1434 0.9737 2.3921
11.0196 2.9210 4.3936
11.2566 2.9210 0.6244
14.0563 0.9737 6.0142
14.6881 2.9210 2.6214
17.4879 0.9737 4.0172
17.7249 0.9737 1.0007
```

Summary:
* crystal system: orthorhombic
* DFT formation energy: -35.2 kJ/mol of atoms

***

Ce3SiSn2: optimized geometry, PBE.

```
Ce3SiSn2
1.0
12.8220 0.0000 0.0000
0.0000 4.3381 0.0000
0.0000 0.0000 12.0327
Ce Si Sn
12 4 8
Cartesian
0.6642 1.0845 1.3513
1.4746 3.2536 6.5974
3.0431 1.0845 9.3626
3.3679 3.2536 3.3462
4.9364 1.0845 0.5811
5.7468 3.2536 7.3676
7.0752 1.0845 4.6651
7.8856 3.2536 11.4516
9.4541 1.0845 8.6864
9.7789 3.2536 2.6701
11.3474 1.0845 5.4353
12.1578 3.2536 10.6814
1.5483 1.0845 4.4233
4.8627 3.2536 10.4396
7.9593 1.0845 1.5930
11.2737 3.2536 7.6094
0.0075 3.2536 3.5740
2.5107 3.2536 11.9391
3.9003 1.0845 5.9227
6.4035 1.0845 9.5903
6.4185 3.2536 2.4424
8.9217 3.2536 6.1099
10.3113 1.0845 0.0936
12.8145 1.0845 8.4587
```

Summary:
* crystal system: orthorhombic
* ΔE_f (raw): -0.52 eV/atom

***

Cs2TiTlF8: optimized geometry, PBE.

```
Cs2TiTlF8
1.0
6.2949 0.0000 0.0000
-3.1475 5.4516 0.0000
0.0000 0.0000 7.7035
Cs Ti Tl F
2 1 1 8
Cartesian
0.0000 3.6344 2.4758
3.1475 1.8172 5.2277
0.0000 0.0000 3.8517
0.0000 0.0000 0.0000
0.0000 1.5364 4.9583
-1.8169 4.6833 4.9583
1.3306 0.7682 2.7452
0.0000 3.6344 7.4961
3.1475 1.8172 0.2074
1.8169 4.6833 4.9583
4.9643 0.7682 2.7452
3.1475 3.9151 2.7452
```

Summary:
* crystal system: trigonal
* ΔE_f (raw): -2.63 eV/atom

***

In2WSe: optimized geometry, PBE.

```
In2WSe
1.0
3.0414 0.0000 0.0000
0.0000 4.5245 0.0000
-0.0224 0.0000 5.8650
In W Se
2 1 1
Cartesian
3.0356 0.0000 1.4184
-0.0166 0.0000 4.4466
1.5207 2.2623 0.0000
1.5095 2.2623 2.9325
```

Summary:
* crystal system: monoclinic
* ΔE_f (raw): 0.66 eV/atom